First-principles (PBE) data for a geometry-optimized AcLaNi2H8 structure, as listed in Alexandria via LeMat-Bulk.

extended XYZ file:
```
12
Lattice="4.645 0.000 0.000 2.323 4.023 0.000 2.323 1.341 6.951" Properties=species:S:1:pos:R:3 pbc="T T T"
Ac 4.645 2.682 3.475
La 0.000 0.000 0.000
Ni 2.323 1.341 1.776
Ni 6.968 4.023 5.174
H 2.323 1.341 3.382
H 3.585 2.070 1.188
H 6.968 4.023 3.569
H 5.705 2.070 1.188
H 3.585 3.294 5.762
H 4.645 3.906 1.188
H 4.645 1.458 5.762
H 5.705 3.294 5.762
```

Summary:
**V**: 130 Å³/cell
**Raw total energy**: -4.29 eV/atom

First-principles (PBE) data for a geometry-optimized AcLaH6Pd2 structure, as listed in Alexandria via LeMat-Bulk.

extended XYZ file:
```
10
Lattice="4.889 0.000 0.000 2.445 4.234 0.000 2.444 1.411 6.702" Properties=species:S:1:pos:R:3 pbc="T T T"
Ac 0.000 0.000 0.000
La 4.889 2.823 3.351
H 3.848 3.423 5.422
H 4.889 1.621 5.422
H 3.848 2.221 1.281
H 5.930 2.222 1.281
H 4.889 4.025 1.281
H 5.930 3.424 5.422
Pd 7.333 4.234 4.862
Pd 2.444 1.411 1.841
```

Summary:
**V**: 139 Å³/cell
**Raw total energy**: -4.36 eV/atom

First-principles (PBE) data for a geometry-optimized AcLa2PmH structure, as listed in Alexandria via LeMat-Bulk.

extended XYZ file:
```
5
Lattice="-0.410 -2.936 -4.391 3.574 -3.423 1.955 -3.920 -2.810 2.245" Properties=species:S:1:pos:R:3 pbc="T T T"
Ac -0.378 -4.585 -0.095
La -1.960 -1.405 1.123
La 1.787 -1.711 0.978
Pm -0.205 -1.468 -2.196
H 0.000 0.000 0.000
```

Summary:
**V**: 150 Å³/cell
**Raw total energy**: -4.59 eV/atom

First-principles (PBE) data for a geometry-optimized AcLaPr2H structure, as listed in Alexandria via LeMat-Bulk.

extended XYZ file:
```
5
Lattice="5.320 0.000 0.000 0.000 5.326 0.000 0.000 0.000 5.326" Properties=species:S:1:pos:R:3 pbc="T T T"
Ac 2.660 2.663 2.663
La 2.660 0.000 0.000
Pr 0.000 0.000 2.663
Pr 0.000 2.663 0.000
H 0.000 0.000 0.000
```

Summary:
**V**: 151 Å³/cell
**Raw total energy**: -4.56 eV/atom

Please write out number 4 again, unchanged.
First-principles (PBE) data for a geometry-optimized AcLaPr2H structure, as listed in Alexandria via LeMat-Bulk.

extended XYZ file:
```
5
Lattice="5.320 0.000 0.000 0.000 5.326 0.000 0.000 0.000 5.326" Properties=species:S:1:pos:R:3 pbc="T T T"
Ac 2.660 2.663 2.663
La 2.660 0.000 0.000
Pr 0.000 0.000 2.663
Pr 0.000 2.663 0.000
H 0.000 0.000 0.000
```

Summary:
**V**: 151 Å³/cell
**Raw total energy**: -4.56 eV/atom

- V of number 3 (AcLa2PmH)?
  150 Å³/cell

- The highest V belongs to which entry?
  AcLaPr2H